[1]
VASP calculation (PBE-GGA) on an optimized crystal structure of Li3Mg3Ag2.

The formation enthalpy at 0 K comes out at -13.7 kJ per mole of atoms. The value obtained for the density of states at the Fermi level is 0.39 states/eV per atom.

Cell lengths 4.767, 4.843, 7.370 Å; angles 109.05, 108.87, 90.00 degrees
Fractional positions:
Mg  0.865  0.365  0.730
Mg  0.135  0.635  0.270
Mg  0.000  0.000  0.000
Ag  0.754  0.754  0.508
Ag  0.246  0.246  0.492
Li  0.637  0.138  0.274
Li  0.500  0.500  0.000
Li  0.363  0.862  0.726

***

[2]
VASP calculation (PBE-GGA) on an optimized crystal structure of Al2In.

The formation enthalpy at 0 K comes out at 11.0 kJ per mole of atoms. The value obtained for the density of states at the Fermi level is 0.31 states/eV per atom.

Cell lengths 6.270, 6.270, 7.343 Å; angles 69.26, 69.26, 27.32 degrees
Fractional positions:
In  0.847  0.847  0.105
In  0.153  0.153  0.895
Al  0.839  0.839  0.531
Al  0.535  0.535  0.287
Al  0.161  0.161  0.469
Al  0.465  0.465  0.713

***

[3]
VASP calculation (PBE-GGA) on an optimized crystal structure of LiAgBiIr.

The formation enthalpy at 0 K comes out at -1.4 kJ per mole of atoms. The value obtained for the density of states at the Fermi level is 0.58 states/eV per atom.

Cell lengths 4.671, 4.671, 4.671 Å; angles 60.00, 60.00, 60.00 degrees
Fractional positions:
Ag  0.250  0.250  0.250
Bi  0.750  0.750  0.750
Li  0.500  0.500  0.500
Ir  0.000  0.000  0.000

***

[4]
VASP calculation (PBE-GGA) on an optimized crystal structure of KIOF2.

Its uncorrected formation energy is -6.35 eV/f.u. The value obtained for the density of states at the Fermi level is 0.40 states/eV per atom.

Cell lengths 4.987, 4.987, 4.075 Å; angles 90.00, 90.00, 90.00 degrees
Fractional positions:
I  0.000  0.000  0.000
F  0.000  0.500  0.000
F  0.500  0.000  0.000
O  0.000  0.000  0.500
K  0.500  0.500  0.500

***

[5]
VASP calculation (PBE-GGA) on an optimized crystal structure of RbGaO2.

Its uncorrected formation energy is -6.38 eV/f.u. The value obtained for the density of states at the Fermi level is 0.00 states/eV per atom.

Cell lengths 6.492, 3.020, 14.443 Å; angles 90.00, 90.00, 90.00 degrees
Fractional positions:
O  0.185  0.250  0.853
O  0.167  0.250  0.034
O  0.333  0.750  0.534
O  0.315  0.750  0.353
O  0.815  0.750  0.147
O  0.833  0.750  0.966
O  0.667  0.250  0.466
O  0.685  0.250  0.647
Rb  0.878  0.750  0.336
Rb  0.378  0.750  0.164
Rb  0.622  0.250  0.836
Rb  0.122  0.250  0.664
Ga  0.377  0.250  0.433
Ga  0.623  0.750  0.567
Ga  0.123  0.750  0.933
Ga  0.877  0.250  0.067

***

[6]
VASP calculation (PBE-GGA) on an optimized crystal structure of TbDy4Y3.

The formation enthalpy at 0 K comes out at 0.5 kJ per mole of atoms. The value obtained for the density of states at the Fermi level is 1.70 states/eV per atom.

Cell lengths 6.294, 7.283, 11.266 Å; angles 90.00, 90.00, 90.00 degrees
Fractional positions:
Dy  0.980  0.124  0.750
Dy  0.480  0.876  0.750
Dy  0.649  0.124  0.500
Dy  0.649  0.124  0.000
Dy  0.149  0.876  0.500
Dy  0.980  0.124  0.250
Dy  0.480  0.876  0.250
Dy  0.149  0.876  0.000
Y  0.482  0.374  0.250
Y  0.982  0.626  0.750
Y  0.146  0.374  0.500
Y  0.646  0.626  0.000
Y  0.982  0.626  0.250
Y  0.482  0.374  0.750
Tb  0.146  0.374  0.000
Tb  0.646  0.626  0.500

***

[7]
VASP calculation (PBE-GGA) on an optimized crystal structure of K2ZnCuH5.

The total energy is -49.98 eV/cell. The value obtained for the density of states at the Fermi level is 0.00 states/eV per atom.

Cell lengths 3.274, 7.093, 11.777 Å; angles 90.00, 90.00, 103.34 degrees
Fractional positions:
H  0.336  0.671  0.638
H  0.918  0.836  0.486
H  0.082  0.164  0.986
H  0.713  0.425  0.520
H  0.287  0.575  0.020
H  0.623  0.245  0.797
H  0.664  0.329  0.138
H  0.549  0.098  0.430
H  0.451  0.902  0.930
H  0.377  0.755  0.297
K  0.090  0.180  0.622
K  0.813  0.627  0.843
K  0.910  0.820  0.122
K  0.187  0.373  0.343
Zn  0.431  0.862  0.421
Zn  0.569  0.138  0.921
Cu  0.178  0.355  0.067
Cu  0.822  0.645  0.567

***

[8]
VASP calculation (PBE-GGA) on an optimized crystal structure of K2LaZn.

The formation enthalpy at 0 K comes out at 60.7 kJ per mole of atoms. The value obtained for the density of states at the Fermi level is 1.68 states/eV per atom.

Cell lengths 5.969, 5.969, 5.969 Å; angles 60.00, 60.00, 60.00 degrees
Site moments in Bohr magnetons follow the coordinates.
Fractional positions:
K  0.750  0.750  0.750  0.00
K  0.250  0.250  0.250  0.00
Zn  0.500  0.500  0.500  0.00
La  0.000  0.000  0.000  0.19

***

[9]
VASP calculation (PBE-GGA) on an optimized crystal structure of Na2CeZr2S6.

Its uncorrected formation energy is -17.42 eV/f.u. The value obtained for the density of states at the Fermi level is 0.84 states/eV per atom.

Cell lengths 6.656, 6.656, 7.163 Å; angles 98.75, 98.75, 120.59 degrees
Site moments in Bohr magnetons follow the coordinates.
Fractional positions:
Ce  0.000  0.000  0.500  0.83
S  0.279  0.279  0.278  -0.01
S  0.070  0.424  0.720  -0.01
S  0.424  0.070  0.720  -0.01
S  0.721  0.721  0.722  -0.01
S  0.930  0.576  0.280  -0.01
S  0.576  0.930  0.280  -0.01
Zr  0.334  0.666  0.500  0.27
Zr  0.666  0.334  0.500  0.27
Na  0.836  0.164  0.000  0.00
Na  0.164  0.836  0.000  0.00

***

[10]
VASP calculation (PBE-GGA) on an optimized crystal structure of Ho4TlTe2P.

Its uncorrected formation energy is -8.93 eV/f.u. The value obtained for the density of states at the Fermi level is 0.37 states/eV per atom.

Cell lengths 4.162, 7.472, 7.461 Å; angles 71.69, 90.00, 90.00 degrees
Fractional positions:
Ho  0.500  0.718  0.273
Ho  0.500  0.282  0.727
Ho  0.000  0.734  0.742
Ho  0.000  0.266  0.258
Te  0.000  0.000  0.000
Te  0.500  0.000  0.500
Tl  0.500  0.500  0.000
P  0.000  0.500  0.500

***

[11]
VASP calculation (PBE-GGA) on an optimized crystal structure of PbW3.

The formation enthalpy at 0 K comes out at 73.2 kJ per mole of atoms. The value obtained for the density of states at the Fermi level is 0.66 states/eV per atom.

Cell lengths 3.054, 4.095, 5.938 Å; angles 90.00, 90.00, 90.00 degrees
Fractional positions:
W  0.000  0.000  0.500
W  0.500  0.500  0.295
W  0.500  0.500  0.705
Pb  0.000  0.000  0.000

***

[12]
VASP calculation (PBE-GGA) on an optimized crystal structure of La3Pr3Tm2.

The formation enthalpy at 0 K comes out at 2.1 kJ per mole of atoms. The value obtained for the density of states at the Fermi level is 1.58 states/eV per atom.

Cell lengths 5.213, 5.221, 10.909 Å; angles 103.85, 103.82, 90.00 degrees
Fractional positions:
Pr  0.130  0.130  0.259
Pr  0.000  0.500  0.000
Pr  0.870  0.870  0.741
La  0.371  0.371  0.742
La  0.500  0.000  0.000
La  0.629  0.629  0.258
Tm  0.251  0.751  0.501
Tm  0.749  0.249  0.499

***

[13]
VASP calculation (PBE-GGA) on an optimized crystal structure of AcYH6Ir2.

The total energy is -107.97 eV/cell. The value obtained for the density of states at the Fermi level is 0.20 states/eV per atom.

Cell lengths 6.271, 6.271, 6.616 Å; angles 103.61, 103.61, 102.54 degrees
Fractional positions:
Ac  0.146  0.854  0.250
Ac  0.854  0.146  0.750
H  0.465  0.688  0.123
H  0.568  0.088  0.381
H  0.312  0.535  0.377
H  0.230  0.169  0.018
H  0.432  0.912  0.619
H  0.535  0.312  0.877
H  0.169  0.230  0.518
H  0.912  0.432  0.119
H  0.688  0.465  0.623
H  0.770  0.831  0.982
H  0.088  0.568  0.881
H  0.831  0.770  0.482
Ir  0.666  0.946  0.184
Ir  0.946  0.666  0.684
Ir  0.334  0.054  0.816
Ir  0.054  0.334  0.316
Y  0.594  0.406  0.250
Y  0.406  0.594  0.750

***

[14]
VASP calculation (PBE-GGA) on an optimized crystal structure of CrIn2Ru.

The formation enthalpy at 0 K comes out at 30.9 kJ per mole of atoms. The value obtained for the density of states at the Fermi level is 0.74 states/eV per atom.

Cell lengths 4.834, 4.834, 5.097 Å; angles 77.16, 77.16, 38.95 degrees
Site moments in Bohr magnetons follow the coordinates.
Fractional positions:
Cr  0.750  0.750  0.750  3.31
In  0.505  0.505  0.491  -0.03
In  0.995  0.995  0.009  -0.03
Ru  0.250  0.250  0.250  -0.03

***

[15]
VASP calculation (PBE-GGA) on an optimized crystal structure of NdY2CrN4.

Its uncorrected formation energy is -9.80 eV/f.u. The value obtained for the density of states at the Fermi level is 0.44 states/eV per atom.

Cell lengths 3.416, 6.047, 11.656 Å; angles 90.00, 90.00, 106.41 degrees
Site moments in Bohr magnetons follow the coordinates.
Fractional positions:
N  0.265  0.530  0.128  0.00
N  0.422  0.843  0.750  -0.05
N  0.578  0.157  0.250  -0.05
N  0.000  0.000  0.500  0.02
N  0.265  0.530  0.372  0.00
N  0.000  0.000  0.000  0.02
N  0.735  0.470  0.628  0.00
N  0.735  0.470  0.872  0.00
Y  0.369  0.738  0.543  0.03
Y  0.631  0.262  0.043  0.03
Y  0.369  0.738  0.957  0.03
Y  0.631  0.262  0.457  0.03
Cr  0.167  0.334  0.250  1.49
Cr  0.833  0.666  0.750  1.49
Nd  0.096  0.193  0.750  0.02
Nd  0.904  0.807  0.250  0.02

***

[16]
VASP calculation (PBE-GGA) on an optimized crystal structure of NiPtRh.

The formation enthalpy at 0 K comes out at -1.5 kJ per mole of atoms. The value obtained for the density of states at the Fermi level is 1.86 states/eV per atom.

Cell lengths 5.377, 3.809, 8.579 Å; angles 90.00, 109.61, 90.00 degrees
Site moments in Bohr magnetons follow the coordinates.
Fractional positions:
Pt  0.623  0.500  0.189  0.25
Pt  0.800  0.500  0.525  0.23
Pt  0.623  0.000  0.689  0.25
Pt  0.800  0.000  0.025  0.23
Rh  0.142  0.000  0.702  0.49
Rh  0.985  0.500  0.867  0.45
Rh  0.142  0.500  0.202  0.49
Rh  0.985  0.000  0.367  0.45
Ni  0.466  0.000  0.358  0.72
Ni  0.302  0.500  0.529  0.73
Ni  0.302  0.000  0.029  0.73
Ni  0.466  0.500  0.858  0.72

***

[17]
VASP calculation (PBE-GGA) on an optimized crystal structure of BaMgZn10.

The formation enthalpy at 0 K comes out at -6.9 kJ per mole of atoms. The value obtained for the density of states at the Fermi level is 0.32 states/eV per atom.

Cell lengths 4.477, 5.145, 9.801 Å; angles 90.00, 90.00, 90.00 degrees
Fractional positions:
Zn  0.500  0.752  0.749
Zn  0.000  0.500  0.786
Zn  0.000  0.500  0.214
Zn  0.500  0.000  0.500
Zn  0.000  0.000  0.354
Zn  0.000  0.000  0.646
Zn  0.500  0.752  0.251
Zn  0.500  0.500  0.000
Zn  0.500  0.248  0.749
Zn  0.500  0.248  0.251
Mg  0.000  0.500  0.500
Ba  0.000  0.000  0.000

***

[18]
VASP calculation (PBE-GGA) on an optimized crystal structure of MgTl2In.

The formation enthalpy at 0 K comes out at 1.6 kJ per mole of atoms. The value obtained for the density of states at the Fermi level is 0.48 states/eV per atom.

Cell lengths 5.971, 5.971, 5.971 Å; angles 134.06, 134.06, 66.99 degrees
Fractional positions:
Tl  0.000  0.000  0.000
Tl  0.250  0.750  0.500
Mg  0.750  0.250  0.500
In  0.500  0.500  0.000

***

[19]
VASP calculation (PBE-GGA) on an optimized crystal structure of AlHg3Sb.

Its uncorrected formation energy is 2.67 eV/f.u. The value obtained for the density of states at the Fermi level is 1.05 states/eV per atom.

Cell lengths 5.642, 5.642, 5.642 Å; angles 90.00, 90.00, 90.00 degrees
Fractional positions:
Hg  0.000  0.500  0.000
Hg  0.000  0.000  0.500
Hg  0.500  0.000  0.000
Sb  0.000  0.000  0.000
Al  0.500  0.500  0.500

***

[20]
VASP calculation (PBE-GGA) on an optimized crystal structure of Ce2PrHo3Se6.

Its uncorrected formation energy is -21.47 eV/f.u. The value obtained for the density of states at the Fermi level is 1.20 states/eV per atom.

Cell lengths 7.106, 7.106, 7.283 Å; angles 99.36, 99.36, 120.06 degrees
Site moments in Bohr magnetons follow the coordinates.
Fractional positions:
Se  0.426  0.089  0.266  -0.01
Se  0.089  0.426  0.266  -0.01
Se  0.574  0.911  0.734  -0.01
Se  0.911  0.574  0.734  -0.01
Se  0.751  0.751  0.263  -0.01
Se  0.249  0.249  0.737  -0.01
Ho  0.837  0.163  0.500  0.00
Ho  0.500  0.500  0.500  0.00
Ho  0.163  0.837  0.500  0.00
Ce  0.333  0.667  0.000  0.82
Ce  0.667  0.333  0.000  0.82
Pr  0.000  0.000  0.000  0.02